Record 1
Material: MgSb2PH
Method: DFT, PBEsol
State: optimized geometry

- Magnetization: 0.284 μB/cell
- E: -3.170 eV per atom

Cell: 5.259 5.259 4.723 Å, 90.00 90.00 90.00°
Space group P4/mmm (No. 123)
Symmetry-distinct sites (fractional):
Mg1 0.000 0.000 0.000 [1 per cell]
Sb1 0.000 0.500 0.500 [2 per cell]
P1 0.000 0.000 0.500 [1 per cell]
H1 0.500 0.500 0.000 [1 per cell]

=====

Record 2
Material: KTl2Sb
Method: DFT, PBEsol
State: optimized geometry

- Magnetization: 0.000 μB/cell
- Energy relative to the elements, uncorrected: -151 meV per atom
- E: -2.889 eV per atom

Cell: 4.015 4.015 7.669 Å, 90.00 90.00 90.00°
Space group P4/mmm (No. 123)
Symmetry-distinct sites (fractional):
K1 0.000 0.000 0.000 [1 per cell]
Tl1 0.500 0.500 0.292 [2 per cell]
Sb1 0.000 0.000 0.500 [1 per cell]

=====

Record 3
Material: K2NaRuF6
Method: DFT, PBEsol
State: optimized geometry

- Magnetization: 4.002 μB/cell
- Energy relative to the elements, uncorrected: -2368 meV per atom
- E: -4.908 eV per atom

Cell: 8.366 8.366 8.366 Å, 90.00 90.00 90.00°
Space group Fm-3m (No. 225)
Symmetry-distinct sites (fractional):
K1 0.250 0.250 0.250 [8 per cell]
Na1 0.000 0.000 0.000 [4 per cell]
Ru1 0.000 0.000 0.500 [4 per cell]
F1 0.000 0.000 0.262 [24 per cell]

=====

Record 4
Material: AlP2PtS
Method: DFT, PBEsol
State: optimized geometry

- Magnetization: 0.001 μB/cell
- Energy relative to the elements, uncorrected: 665 meV per atom
- E: -4.739 eV per atom

Cell: 4.535 4.535 4.958 Å, 90.00 90.00 90.00°
Space group P4/mmm (No. 123)
Symmetry-distinct sites (fractional):
Al1 0.000 0.000 0.000 [1 per cell]
P1 0.000 0.500 0.500 [2 per cell]
Pt1 0.500 0.500 0.500 [1 per cell]
S1 0.500 0.500 0.000 [1 per cell]

=====

Record 5
Material: SrTcSe3
Method: DFT, PBEsol
State: optimized geometry

- Magnetization: 2.192 μB/cell
- Energy relative to the elements, uncorrected: -569 meV per atom
- E: -5.501 eV per atom

Cell: 4.937 4.937 4.937 Å, 90.00 90.00 90.00°
Space group Pm-3m (No. 221)
Symmetry-distinct sites (fractional):
Sr1 0.000 0.000 0.000 [1 per cell]
Tc1 0.500 0.500 0.500 [1 per cell]
Se1 0.000 0.500 0.500 [3 per cell]

=====

Record 6
Material: SnIr3Br
Method: DFT, PBEsol
State: optimized geometry

- Magnetization: 2.848 μB/cell
- Energy relative to the elements, uncorrected: 2196 meV per atom
- E: -4.924 eV per atom

Cell: 4.879 4.879 4.879 Å, 90.00 90.00 90.00°
Space group Pm-3m (No. 221)
Symmetry-distinct sites (fractional):
Sn1 0.000 0.000 0.000 [1 per cell]
Ir1 0.000 0.000 0.500 [3 per cell]
Br1 0.500 0.500 0.500 [1 per cell]

=====

Record 7
Material: ZrTc2Rh
Method: DFT, PBEsol
State: optimized geometry

- Magnetization: 0.001 μB/cell
- Relative energy among the computed polymorphs: 79 meV per atom
- E: -10.016 eV per atom

Cell: 3.820 3.881 8.302 Å, 90.00 90.00 90.00°
Space group Immm (No. 71)
Symmetry-distinct sites (fractional):
Zr1 0.000 0.000 0.000 [2 per cell]
Tc1 0.000 0.500 0.251 [4 per cell]
Rh1 0.000 0.000 0.500 [2 per cell]

=====

Record 8
Material: ZrIrAu2
Method: DFT, PBEsol
State: optimized geometry

- Magnetization: 0.000 μB/cell
- Relative energy among the computed polymorphs: 0 meV per atom
- E: -7.207 eV per atom

Cell: 3.910 3.910 8.757 Å, 90.00 90.00 90.00°
Space group I4/mmm (No. 139)
Symmetry-distinct sites (fractional):
Zr1 0.000 0.000 0.000 [2 per cell]
Ir1 0.000 0.000 0.500 [2 per cell]
Au1 0.000 0.500 0.250 [4 per cell]

=====

Record 9
Material: TaCoAg2
Method: DFT, PBEsol
State: optimized geometry

- Magnetization: 0.008 μB/cell
- Relative energy among the computed polymorphs: 116 meV per atom
- E: -6.308 eV per atom

Cell: 3.643 3.643 4.569 Å, 90.00 90.00 90.00°
Space group P4/mmm (No. 123)
Symmetry-distinct sites (fractional):
Ta1 0.000 0.000 0.000 [1 per cell]
Co1 0.500 0.500 0.000 [1 per cell]
Ag1 0.000 0.500 0.500 [2 per cell]

=====

Record 10
Material: Fe4PIr
Method: DFT, PBEsol
State: optimized geometry

- Magnetization: 33.984 μB/cell
- E: -8.304 eV per atom

Cell: 6.552 6.552 6.552 Å, 90.00 90.00 90.00°
Space group F-43m (No. 216)
Symmetry-distinct sites (fractional):
Fe1 0.124 0.124 0.376 [16 per cell]
P1 0.250 0.250 0.750 [4 per cell]
Ir1 0.000 0.000 0.000 [4 per cell]

=====

Record 11
Material: Sb2Br
Method: DFT, PBEsol
State: optimized geometry

- Magnetization: 0.000 μB/cell
- Relative energy among the computed polymorphs: 0 meV per atom
- Energy relative to the elements, uncorrected: -173 meV per atom
- E: -3.834 eV per atom

Cell: 4.133 15.977 5.758 Å, 90.00 90.00 90.00°
Space group Cmcm (No. 63)
Symmetry-distinct sites (fractional):
Sb1 0.000 0.021 0.250 [4 per cell]
Sb2 0.000 0.353 0.750 [4 per cell]
Br1 0.000 0.327 0.250 [4 per cell]

=====

Record 12
Material: TeRu2Se
Method: DFT, PBEsol
State: optimized geometry

- Magnetization: 0.001 μB/cell
- Relative energy among the computed polymorphs: 0 meV per atom
- Energy relative to the elements, uncorrected: 93 meV per atom
- E: -6.837 eV per atom

Cell: 3.044 3.044 7.951 Å, 90.00 90.00 90.00°
Space group P4mm (No. 99)
Symmetry-distinct sites (fractional):
Te1 0.000 0.000 0.000 [1 per cell]
Ru1 0.000 0.000 0.440 [1 per cell]
Ru2 0.500 0.500 0.188 [1 per cell]
Se1 0.500 0.500 0.598 [1 per cell]

=====

Record 13
Material: AgPPt
Method: DFT, PBEsol
State: optimized geometry

- Magnetization: 0.000 μB/cell
- Relative energy among the computed polymorphs: 0 meV per atom
- E: -5.436 eV per atom

Cell: 3.1052 3.1052 5.8699 Å, 90.00 90.00 120.00°
Space group P3m1 (No. 156)
Symmetry-distinct sites (fractional):
Ag1 0.0000 0.0000 0.0000 [1 per cell]
P1 0.3333 0.6667 0.6229 [1 per cell]
Pt1 0.6667 0.3333 0.3744 [1 per cell]

=====

Record 14
Material: Rb2NaO
Method: DFT, PBEsol
State: optimized geometry

- Magnetization: 0.001 μB/cell
- Energy relative to the elements, uncorrected: -695 meV per atom
- E: -2.870 eV per atom

Cell: 11.334 11.334 4.461 Å, 90.00 90.00 90.00°
Space group I-42d (No. 122)
Symmetry-distinct sites (fractional):
Rb1 0.027 0.250 0.125 [8 per cell]
Na1 0.000 0.000 0.500 [4 per cell]
O1 0.000 0.000 0.000 [4 per cell]

=====

Record 15
Material: ZrOs2Br
Method: DFT, PBEsol
State: optimized geometry

- Magnetization: 0.000 μB/cell
- Relative energy among the computed polymorphs: 492 meV per atom
- Energy relative to the elements, uncorrected: 732 meV per atom
- E: -8.116 eV per atom

Cell: 6.024 7.023 3.127 Å, 90.00 90.00 90.00°
Space group Cmmm (No. 65)
Symmetry-distinct sites (fractional):
Zr1 0.000 0.000 0.000 [2 per cell]
Os1 0.250 0.250 0.500 [4 per cell]
Br1 0.000 0.500 0.000 [2 per cell]

=====

Record 16
Material: Zr2CdHg
Method: DFT, PBEsol
State: optimized geometry

- Magnetization: 0.000 μB/cell
- Relative energy among the computed polymorphs: 58 meV per atom
- E: -5.157 eV per atom

Cell: 3.123 3.123 8.678 Å, 90.00 90.00 90.00°
Space group P4mm (No. 99)
Symmetry-distinct sites (fractional):
Zr1 0.000 0.000 0.000 [1 per cell]
Zr2 0.500 0.500 0.260 [1 per cell]
Cd1 0.000 0.000 0.515 [1 per cell]
Hg1 0.500 0.500 0.755 [1 per cell]

=====

Record 17
Material: Be2NiW
Method: DFT, PBEsol
State: optimized geometry

- Magnetization: 0.001 μB/cell
- Relative energy among the computed polymorphs: 0 meV per atom
- E: -6.922 eV per atom

Cell: 4.035 4.035 2.596 Å, 90.00 90.00 90.00°
Space group P4/mmm (No. 123)
Symmetry-distinct sites (fractional):
Be1 0.000 0.500 0.000 [2 per cell]
Ni1 0.000 0.000 0.500 [1 per cell]
W1 0.500 0.500 0.500 [1 per cell]

=====

Record 18
Material: BeFe2NiN
Method: DFT, PBEsol
State: optimized geometry

- Magnetization: 6.792 μB/cell
- Energy relative to the elements, uncorrected: 706 meV per atom
- E: -6.617 eV per atom

Cell: 4.247 4.247 2.925 Å, 90.00 90.00 90.00°
Space group P4/mmm (No. 123)
Symmetry-distinct sites (fractional):
Be1 0.000 0.000 0.000 [1 per cell]
Fe1 0.000 0.500 0.000 [2 per cell]
Ni1 0.500 0.500 0.500 [1 per cell]
N1 0.000 0.000 0.500 [1 per cell]

=====

Record 19
Material: MoPbSe2
Method: DFT, PBEsol
State: optimized geometry

- Magnetization: 0.001 μB/cell
- Energy relative to the elements, uncorrected: 40 meV per atom
- E: -5.826 eV per atom

Cell: 3.3086 3.3086 27.0439 Å, 90.00 90.00 120.00°
Space group R3m (No. 160, hexagonal axes)
Symmetry-distinct sites (fractional):
Mo1 0.0000 0.0000 0.0000 [3 per cell]
Pb1 0.0000 0.0000 0.2503 [3 per cell]
Se1 0.0000 0.0000 0.5046 [3 per cell]
Se2 0.0000 0.0000 0.7258 [3 per cell]

=====

Record 20
Material: LiNbGe3
Method: DFT, PBEsol
State: optimized geometry

- Magnetization: 1.541 μB/cell
- E: -4.813 eV per atom

Cell: 4.400 4.400 4.400 Å, 90.00 90.00 90.00°
Space group Pm-3m (No. 221)
Symmetry-distinct sites (fractional):
Li1 0.000 0.000 0.000 [1 per cell]
Nb1 0.500 0.500 0.500 [1 per cell]
Ge1 0.000 0.000 0.500 [3 per cell]

=====

Record 21
Material: ZrTiSi3
Method: DFT, PBEsol
State: optimized geometry

- Magnetization: 1.872 μB/cell
- Energy relative to the elements, uncorrected: 959 meV per atom
- E: -5.972 eV per atom

Cell: 4.870 4.870 4.870 Å, 90.00 90.00 90.00°
Space group Pm-3m (No. 221)
Symmetry-distinct sites (fractional):
Zr1 0.000 0.000 0.000 [1 per cell]
Ti1 0.500 0.500 0.500 [1 per cell]
Si1 0.000 0.000 0.500 [3 per cell]

=====

Record 22
Material: TaBe4W
Method: DFT, PBEsol
State: optimized geometry

- Magnetization: 0.002 μB/cell
- E: -7.305 eV per atom

Cell: 6.379 6.379 6.379 Å, 90.00 90.00 90.00°
Space group F-43m (No. 216)
Symmetry-distinct sites (fractional):
Ta1 0.000 0.000 0.000 [4 per cell]
Be1 0.124 0.124 0.624 [16 per cell]
W1 0.250 0.250 0.250 [4 per cell]

=====

Record 23
Material: SrRe2Ir
Method: DFT, PBEsol
State: optimized geometry

- Magnetization: 0.000 μB/cell
- Relative energy among the computed polymorphs: 0 meV per atom
- E: -8.642 eV per atom

Cell: 5.428 9.636 2.707 Å, 90.00 107.43 90.00°
Space group C2/m (No. 12)
Symmetry-distinct sites (fractional):
Sr1 0.000 0.000 0.000 [2 per cell]
Re1 0.250 0.250 0.500 [4 per cell]
Ir1 0.000 0.500 0.000 [2 per cell]

=====

Record 24
Material: YRhSeN2
Method: DFT, PBEsol
State: optimized geometry

- Magnetization: 3.758 μB/cell
- Energy relative to the elements, uncorrected: 1236 meV per atom
- E: -5.937 eV per atom

Cell: 4.191 4.191 5.599 Å, 90.00 90.00 90.00°
Space group P4/mmm (No. 123)
Symmetry-distinct sites (fractional):
Y1 0.000 0.000 0.000 [1 per cell]
Rh1 0.500 0.500 0.500 [1 per cell]
Se1 0.000 0.000 0.500 [1 per cell]
N1 0.000 0.500 0.000 [2 per cell]

=====

Record 25
Material: LaFe2Br
Method: DFT, PBEsol
State: optimized geometry

- Magnetization: 23.055 μB/cell
- Relative energy among the computed polymorphs: 176 meV per atom
- Energy relative to the elements, uncorrected: 376 meV per atom
- E: -5.910 eV per atom

Cell: 6.784 6.784 6.784 Å, 90.00 90.00 90.00°
Space group F-43m (No. 216)
Symmetry-distinct sites (fractional):
La1 0.000 0.000 0.000 [4 per cell]
Fe1 0.000 0.000 0.500 [4 per cell]
Fe2 0.250 0.250 0.250 [4 per cell]
Br1 0.250 0.250 0.750 [4 per cell]

=====

Record 26
Material: SnS2
Method: DFT, PBEsol
State: optimized geometry

- Magnetization: 0.001 μB/cell
- Energy relative to the elements, uncorrected: -410 meV per atom
- E: -4.753 eV per atom

Cell: 10.330 10.330 10.330 Å, 90.00 90.00 90.00°
Space group Fd-3m (No. 227, origin choice 2)
Symmetry-distinct sites (fractional):
Sn1 0.000 0.000 0.000 [16 per cell]
S1 0.001 0.001 0.249 [32 per cell]

=====

Record 27
Material: Co2Sb
Method: DFT, PBEsol
State: optimized geometry

- Magnetization: 3.982 μB/cell
- Energy relative to the elements, uncorrected: 219 meV per atom
- E: -6.458 eV per atom

Cell: 3.279 3.279 7.588 Å, 90.00 90.00 90.00°
Space group I4/mmm (No. 139)
Symmetry-distinct sites (fractional):
Co1 0.000 0.000 0.168 [4 per cell]
Sb1 0.000 0.000 0.500 [2 per cell]